# 1
Compound: TbHo2AgHg3Au2
Source: OQMD via LeMat-Bulk
Functional: PBE
Structure: relaxed

extended XYZ file:
```
9
Lattice="3.7383 0.0000 0.0000 0.0000 6.9014 3.9785 0.0000 -6.9014 3.9785" Properties=species:S:1:pos:R:3 pbc="T T T"
Ag 0.0000 0.0000 7.9512
Au 1.8691 2.3122 3.9827
Au 1.8691 -2.3122 3.9827
Hg 1.8691 1.8705 1.0793
Hg 1.8691 -1.8705 1.0793
Hg 1.8691 0.0000 5.8001
Ho 0.0000 4.1205 2.3754
Ho 0.0000 -4.1205 2.3754
Tb 0.0000 0.0000 3.2022
```

space group	Amm2, No. 38
ΔH_f (0 K)	-0.583	eV/atom

***

# 2
Compound: ReSeS
Source: OQMD via LeMat-Bulk
Functional: PBE
Structure: relaxed

extended XYZ file:
```
12
Lattice="6.5232 0.0000 0.0000 -3.1833 5.8124 0.0000 -1.7029 -1.1934 6.5466" Properties=species:S:1:pos:R:3 pbc="T T T"
Re -3.0293 4.1533 3.2181
Re -0.1733 3.9768 3.2541
Re 1.8103 0.6423 3.2924
Re 4.6664 0.4658 3.3285
S -1.5382 4.8842 1.5503
S -0.0850 1.7375 2.1589
S 1.7220 2.8816 4.3877
S 3.1752 -0.2651 4.9963
Se 1.6237 4.5987 1.5407
Se 3.3551 1.9429 1.7848
Se -1.7181 2.6762 4.7618
Se 0.0133 0.0204 5.0059
```

space group	P-1, No. 2
raw total energy	-7.154	eV/atom

***

# 3
Compound: Y2HoCu4Si2Sn2
Source: OQMD via LeMat-Bulk
Functional: PBE
Structure: relaxed

extended XYZ file:
```
11
Lattice="-2.1178 3.4188 7.0997 2.1178 -3.4188 7.0997 2.1178 3.4188 -7.0997" Properties=species:S:1:pos:R:3 pbc="T T T"
Cu 0.0000 2.1225 9.6775
Cu 0.0000 2.1225 4.5218
Cu 2.1178 1.2963 -2.5778
Cu 2.1178 1.2963 2.5779
Ho 0.0000 0.0000 0.0000
Si 0.0000 0.0000 3.0588
Si 0.0000 0.0000 11.1405
Sn 0.0000 1.3956 7.0997
Sn 2.1178 2.0233 0.0000
Y 0.0000 3.4188 1.9091
Y 2.1178 0.0000 5.1906
```

excess energy over the best structure of this formula in the dataset	0.0716	eV/atom
space group	Immm, No. 71

***

# 4
Compound: AcZrO3
Source: OQMD via LeMat-Bulk
Functional: PBE
Structure: relaxed

extended XYZ file:
```
10
Lattice="-1.7974 -1.7120 5.0214 -4.3574 2.5444 2.4320 -5.5058 -3.2928 0.0308" Properties=species:S:1:pos:R:3 pbc="T T T"
Ac -4.5382 0.1054 4.6600
Ac -7.1224 -2.5657 2.8243
O -1.8492 -0.8220 0.7453
O -2.8687 -1.4967 3.1622
O -3.9665 0.5366 1.7491
O -7.6941 -2.9969 5.7351
O -8.7919 -0.9637 4.3220
O -9.8114 -1.6384 6.7390
Zr -7.8069 -0.8752 6.2799
Zr -3.8537 -1.5852 1.2044
```

space group	R-3, No. 148
raw total energy	-8.554	eV/atom

***

# 5
Compound: InCuPtW
Source: OQMD via LeMat-Bulk
Functional: PBE
Structure: relaxed

extended XYZ file:
```
4
Lattice="4.2266 -1.1572 -1.0668 2.6485 -1.9567 3.0819 1.1098 -4.3515 -0.4164" Properties=species:S:1:pos:R:3 pbc="T T T"
Cu 5.9886 -5.5990 1.1990
In 0.0000 0.0000 0.0000
Pt 1.9962 -1.8663 0.3997
W 3.9924 -3.7327 0.7994
```

excess energy over the best structure of this formula in the dataset	0.0000	eV/atom
space group	F-43m, No. 216

***

# 6
Compound: LiLuHf
Source: OQMD via LeMat-Bulk
Functional: PBE
Structure: relaxed

extended XYZ file:
```
3
Lattice="0.0000 3.4849 3.4849 3.4849 0.0000 3.4849 3.4849 3.4849 0.0000" Properties=species:S:1:pos:R:3 pbc="T T T"
Hf 0.0000 0.0000 0.0000
Li 1.7425 1.7425 1.7425
Lu 5.2274 5.2274 5.2274
```

excess energy over the best structure of this formula in the dataset	0.0000	eV/atom
space group	F-43m, No. 216

***

# 7
Compound: SrNbNO
Source: OQMD via LeMat-Bulk
Functional: PBE
Structure: relaxed

extended XYZ file:
```
16
Lattice="-0.1704 -1.8563 5.9354 6.0535 -5.8966 -1.6705 3.2682 3.0577 1.0501" Properties=species:S:1:pos:R:3 pbc="T T T"
N 2.4048 -3.8814 4.8397
N 3.7533 -4.1838 1.5234
N 4.0960 -1.7297 3.3732
N 5.4445 -2.0321 0.0569
Nb 2.4910 -3.3004 2.8782
Nb 3.7786 -3.5436 -0.4213
Nb 4.0701 -2.3704 5.3178
Nb 5.3578 -2.6135 2.0183
O 0.9944 -1.6989 2.8670
O 5.2979 -4.8798 -1.2647
O 2.5491 -1.0359 6.1606
O 6.8525 -4.2168 2.0289
Sr 1.0150 -0.8200 0.2436
Sr 5.2583 -5.9645 2.0168
Sr 2.5886 0.0488 2.8791
Sr 6.8318 -5.0957 4.6523
```

excess energy over the best structure of this formula in the dataset	0.0000	eV/atom
space group	Pbcm, No. 57

***

# 8
Compound: FeBOsW
Source: OQMD via LeMat-Bulk
Functional: PBE
Structure: relaxed

extended XYZ file:
```
4
Lattice="2.2905 -0.9837 3.2791 1.8532 2.9622 2.1812 -1.3332 0.9069 3.7904" Properties=species:S:1:pos:R:3 pbc="T T T"
B 0.0000 0.0000 0.0000
Fe 2.1079 2.1641 6.9380
Os 0.7026 0.7214 2.3127
W 1.4053 1.4427 4.6253
```

excess energy over the best structure of this formula in the dataset	0.0000	eV/atom
space group	F-43m, No. 216

***

# 9
Compound: RbUTe2AuSe
Source: OQMD via LeMat-Bulk
Functional: PBE
Structure: relaxed

extended XYZ file:
```
12
Lattice="-1.6681 8.1325 1.0906 -5.3588 6.0976 2.0525 3.3631 -1.0272 10.7310" Properties=species:S:1:pos:R:3 pbc="T T T"
Au -2.4169 6.3732 4.2097
Au -1.2470 6.8297 9.6643
Rb -4.6118 10.6181 4.7685
Rb 0.9479 2.5848 9.1056
Se -2.5668 5.4644 1.7117
Se -1.0970 7.7385 12.1624
Te 0.3050 0.8377 2.9426
Te -1.0714 4.7626 5.9647
Te -2.5924 8.4403 7.9094
Te -3.9688 12.3652 10.9315
U 0.0000 0.0000 0.0000
U 1.6815 -0.5136 5.3655
```

space group	C2/m, No. 12
raw total energy	-5.026	eV/atom

***

# 10
Compound: Nd2GaCo2
Source: OQMD via LeMat-Bulk
Functional: PBE
Structure: relaxed

extended XYZ file:
```
10
Lattice="4.7474 -2.7711 0.0000 4.7474 2.7711 0.0000 -1.8529 0.0000 7.4441" Properties=species:S:1:pos:R:3 pbc="T T T"
Co 6.1057 -1.9657 0.0412
Co 2.4627 -1.9657 3.6808
Co 5.1792 1.9657 3.7633
Co 1.5363 1.9657 7.4029
Ga 4.2842 -2.0715 1.8610
Ga 3.3577 2.0715 5.5831
Nd 5.8548 0.8282 1.0820
Nd 2.7135 0.8282 2.6400
Nd 4.9284 -0.8282 4.8041
Nd 1.7871 -0.8282 6.3621
```

space group	C2/c, No. 15
raw total energy	-5.647	eV/atom

***

# 11
Compound: Cs2Cu3Te4
Source: OQMD via LeMat-Bulk
Functional: PBE
Structure: relaxed

extended XYZ file:
```
18
Lattice="-3.2681 6.6387 6.6458 3.2681 -6.6387 6.6458 3.2681 6.6387 -6.6458" Properties=species:S:1:pos:R:3 pbc="T T T"
Cs -1.5266 5.0248 6.6458
Cs 1.7415 1.6140 6.6458
Cs 1.5266 5.0248 0.0000
Cs 4.7948 1.6140 0.0000
Cu 0.0000 0.0000 3.3229
Cu 0.0000 0.0000 9.9687
Cu 0.0000 3.4928 3.3229
Cu 3.2681 -3.1460 3.3229
Cu 0.0000 9.7847 3.3229
Cu 3.2681 3.1459 3.3229
Te 1.4813 -1.7350 4.5898
Te 1.4813 -1.7350 8.7018
Te -1.7868 8.3737 4.5898
Te 1.4813 1.7350 2.0560
Te 1.7868 4.9038 4.5898
Te 5.0550 -1.7350 2.0560
Te 1.7868 8.3737 -2.0560
Te 1.7868 8.3737 2.0560
```

space group	Ibam, No. 72
raw total energy	-3.224	eV/atom

***

# 12
Compound: NdAl3C3
Source: OQMD via LeMat-Bulk
Functional: PBE
Structure: relaxed

extended XYZ file:
```
14
Lattice="3.4759 0.0000 0.0000 -1.7379 3.0102 0.0000 0.0000 0.0000 17.6806" Properties=species:S:1:pos:R:3 pbc="T T T"
Al 0.0000 2.0068 2.4142
Al 1.7379 1.0034 4.4202
Al 0.0000 2.0068 6.4261
Al 1.7379 1.0034 11.2545
Al 0.0000 2.0068 13.2605
Al 1.7379 1.0034 15.2664
C 1.7379 1.0034 1.7400
C 0.0000 2.0068 4.4202
C 1.7379 1.0034 7.1003
C 0.0000 2.0068 10.5803
C 1.7379 1.0034 13.2605
C 0.0000 2.0068 15.9407
Nd 0.0000 0.0000 0.0000
Nd 0.0000 0.0000 8.8403
```

space group	P6_3/mmc, No. 194
raw total energy	-6.410	eV/atom

***

# 13
Compound: Cs2KCuI6
Source: OQMD via LeMat-Bulk
Functional: PBE
Structure: relaxed

extended XYZ file:
```
10
Lattice="3.7149 5.2225 5.7673 -7.4411 0.6382 4.3081 3.4009 -7.7452 -1.6683" Properties=species:S:1:pos:R:3 pbc="T T T"
Cs 2.6264 0.2039 4.5684
Cs -2.9516 -2.0883 3.8388
Cu 0.0000 0.0000 0.0000
I 1.1970 4.1878 5.4380
I -0.8483 1.3342 2.2936
I -2.8779 4.5265 7.7817
I -4.9232 1.6728 4.6374
I 0.6942 -2.1734 1.5210
I -1.0194 0.2889 6.8862
K -1.8631 2.9303 5.0377
```

space group	I4/mmm, No. 139
raw total energy	-2.408	eV/atom

***

# 14
Compound: Sm2YGe4Pd4
Source: OQMD via LeMat-Bulk
Functional: PBE
Structure: relaxed

extended XYZ file:
```
11
Lattice="-2.1279 3.5540 7.0951 2.1279 -3.5540 7.0951 2.1279 3.5540 -7.0951" Properties=species:S:1:pos:R:3 pbc="T T T"
Ge 0.0000 0.0000 3.0806
Ge 0.0000 0.0000 11.1097
Ge 0.0000 1.3539 7.0951
Ge 2.1279 2.2002 0.0000
Pd 0.0000 2.1353 4.6080
Pd 0.0000 2.1353 9.5822
Pd 2.1279 1.4187 2.4871
Pd 2.1279 1.4187 -2.4871
Sm 0.0000 3.5540 1.7944
Sm 2.1279 0.0000 5.3007
Y 0.0000 0.0000 0.0000
```

space group	Immm, No. 71
raw total energy	-5.894	eV/atom

***

# 15
Compound: PrIn5NiPd
Source: OQMD via LeMat-Bulk
Functional: PBE
Structure: relaxed

extended XYZ file:
```
8
Lattice="-2.1577 3.9783 5.2683 2.1577 -3.9783 5.2683 2.1577 3.9783 -5.2683" Properties=species:S:1:pos:R:3 pbc="T T T"
In 0.0000 0.0000 0.0439
In 0.0000 2.3655 3.6679
In 0.0000 2.4621 6.8890
In 2.1577 1.5162 1.6207
In 2.1577 1.6128 -1.6004
Ni 0.0000 0.0000 2.6072
Pd 0.0000 0.0000 7.9152
Pr 2.1577 0.0000 5.1980
```

space group	Imm2, No. 44
raw total energy	-4.004	eV/atom

***

# 16
Compound: TmPtNO
Source: OQMD via LeMat-Bulk
Functional: PBE
Structure: relaxed

extended XYZ file:
```
8
Lattice="3.8561 0.0000 0.0000 0.0000 4.9718 0.0000 0.0000 0.0000 5.8467" Properties=species:S:1:pos:R:3 pbc="T T T"
N 0.0000 4.6037 1.8957
N 0.0000 2.1179 3.9510
O 1.9280 1.7161 0.7354
O 1.9280 4.2020 5.1113
Pt 1.9281 0.0472 1.9749
Pt 1.9280 2.5331 3.8718
Tm 0.0000 2.3534 1.5496
Tm 0.0000 4.8393 4.2971
```

excess energy over the best structure of this formula in the dataset	0.4404	eV/atom
space group	Pmc2_1, No. 26

***

# 17
Compound: KFe2S3
Source: OQMD via LeMat-Bulk
Functional: PBE
Structure: relaxed

extended XYZ file:
```
12
Lattice="7.7831 0.0000 0.0000 0.0000 3.4685 0.0000 -3.7492 0.0000 8.0693" Properties=species:S:1:pos:R:3 pbc="T T T"
Fe 3.0354 0.8671 1.2987
Fe 2.2742 2.6014 3.1607
Fe 1.7597 0.8671 4.9086
Fe 0.9986 2.6014 6.7706
K -0.9153 0.8671 2.1114
K 4.9492 2.6014 5.9579
S 4.5464 2.6014 1.0027
S 1.5328 2.6014 1.1631
S 3.4939 0.8671 3.5470
S 0.5401 2.6014 4.5223
S 2.5012 0.8671 6.9062
S -0.5124 0.8671 7.0665
```

space group	P2_1/m, No. 11
raw total energy	-5.643	eV/atom

***

# 18
Compound: Be2NbTc2
Source: OQMD via LeMat-Bulk
Functional: PBE
Structure: relaxed

extended XYZ file:
```
10
Lattice="6.2885 0.0000 0.0000 0.0000 6.2885 0.0000 0.0000 0.0000 3.1461" Properties=species:S:1:pos:R:3 pbc="T T T"
Be 3.8743 0.7301 0.0000
Be 0.7301 2.4142 0.0000
Be 5.5585 3.8743 0.0000
Be 2.4142 5.5585 0.0000
Nb 0.0000 0.0000 0.0000
Nb 3.1443 3.1443 0.0000
Tc 2.0404 1.1039 1.5731
Tc 5.1847 2.0404 1.5731
Tc 1.1039 4.2482 1.5731
Tc 4.2482 5.1847 1.5731
```

space group	P4/mbm, No. 127
raw total energy	-7.968	eV/atom

***

# 19
Compound: CsDyCoSe3
Source: OQMD via LeMat-Bulk
Functional: PBE
Structure: relaxed

extended XYZ file:
```
12
Lattice="-0.1826 4.7368 -7.3793 -4.3395 4.6188 -6.0630 1.7794 6.5513 6.2066" Properties=species:S:1:pos:R:3 pbc="T T T"
Co -1.8130 6.1735 -5.1720
Co -0.9298 9.7334 -2.0636
Cs -3.0336 10.7579 -8.6157
Cs 0.2909 5.1490 1.3801
Dy -0.6063 1.9895 -1.7363
Dy -2.1365 13.9175 -5.4993
Se 0.0000 0.0000 0.0000
Se -1.2809 4.0791 -3.6793
Se -2.4277 7.6946 -6.9770
Se -1.3714 7.9535 -3.6178
Se -0.3150 8.2123 -0.2586
Se -1.4619 11.8278 -3.5564
```

space group	C2/m, No. 12
raw total energy	-4.749	eV/atom

***

# 20
Compound: LaLuSn
Source: OQMD via LeMat-Bulk
Functional: PBE
Structure: relaxed

extended XYZ file:
```
3
Lattice="0.0000 3.6930 3.6930 3.6930 0.0000 3.6930 3.6930 3.6930 0.0000" Properties=species:S:1:pos:R:3 pbc="T T T"
La 1.8465 1.8465 1.8465
Lu 5.5394 5.5394 5.5394
Sn 0.0000 0.0000 0.0000
```

space group	F-43m, No. 216
raw total energy	-4.860	eV/atom

***

# 21
Compound: NdHo2In3AgPt2
Source: OQMD via LeMat-Bulk
Functional: PBE
Structure: relaxed

extended XYZ file:
```
9
Lattice="3.8140 0.0000 0.0000 0.0000 6.8334 3.9226 0.0000 -6.8334 3.9226" Properties=species:S:1:pos:R:3 pbc="T T T"
Ag 0.0000 0.0000 0.0160
Ho 0.0000 4.0247 5.5320
Ho 0.0000 -4.0247 5.5320
In 1.9070 4.9924 2.8857
In 1.9070 0.0000 2.0811
In 1.9070 -4.9924 2.8857
Nd 0.0000 0.0000 4.6279
Pt 1.9070 2.3332 3.9102
Pt 1.9070 -2.3332 3.9102
```

space group	Amm2, No. 38
raw total energy	-4.927	eV/atom

***

# 22
Compound: ScCuSnW
Source: OQMD via LeMat-Bulk
Functional: PBE
Structure: relaxed

extended XYZ file:
```
4
Lattice="2.2055 0.9313 3.9820 -2.1174 -0.7699 4.0635 1.4194 -3.4756 2.7374" Properties=species:S:1:pos:R:3 pbc="T T T"
Cu 1.1307 -2.4856 8.0872
Sc 0.7538 -1.6571 5.3915
Sn 0.0000 0.0000 0.0000
W 0.3769 -0.8285 2.6957
```

excess energy over the best structure of this formula in the dataset	0.0000	eV/atom
space group	F-43m, No. 216

***

# 23
Compound: SrMgSi2Ir
Source: OQMD via LeMat-Bulk
Functional: PBE
Structure: relaxed

extended XYZ file:
```
5
Lattice="-2.1119 2.1119 5.3905 2.1119 -2.1119 5.3905 2.1119 2.1119 -5.3905" Properties=species:S:1:pos:R:3 pbc="T T T"
Ir 0.0000 2.1119 2.6952
Mg 2.1119 0.0000 2.6952
Si 0.0000 0.0000 4.1327
Si 0.0000 0.0000 6.6482
Sr 0.0000 0.0000 0.0000
```

space group	I-4m2, No. 119
raw total energy	-5.071	eV/atom